1.
VASP calculation (PBE) on a relaxed structure of ZnGa8Ag2.

Output
The calculation puts the formation energy at 57 kJ/mol of formula units. The mass density comes out at 6.70 g/cm3. The space group is P4/mmm.

Cell: 4.383 4.383 10.824 Å, 90.00 90.00 90.00°
Atoms (fractional coordinates):
Zn: 0.000 0.000 0.000
Ga: 0.000 0.500 0.141
Ga: 0.000 0.500 0.500
Ga: 0.000 0.500 0.859
Ga: 0.500 0.000 0.141
Ga: 0.500 0.000 0.500
Ga: 0.500 0.000 0.859
Ga: 0.500 0.500 0.317
Ga: 0.500 0.500 0.683
Ag: 0.000 0.000 0.325
Ag: 0.000 0.000 0.675

2.
VASP calculation (PBE) on a relaxed structure of AsHRuCl2.

Output
The mass density comes out at 5.51 g/cm3. The total energy comes out at -3.336 eV/atom. The space group is P4/mmm.

Cell: 4.684 4.684 3.402 Å, 90.00 90.00 90.00°
Atoms (fractional coordinates):
As: 0.000 0.000 0.000
H: 0.000 0.000 0.500
Ru: 0.500 0.500 0.000
Cl: 0.000 0.500 0.500
Cl: 0.500 0.000 0.500

3.
VASP calculation (PBE) on a relaxed structure of TbErCo10.

Output
The calculation puts the formation energy at -132 kJ/mol of formula units. The mass density comes out at 9.22 g/cm3. The space group is Pmmm.

Cell: 3.946 4.909 8.515 Å, 90.00 90.00 90.00°
Atoms (fractional coordinates):
Tb: 0.000 0.000 0.000
Er: 0.000 0.500 0.500
Co: 0.000 0.000 0.335
Co: 0.000 0.000 0.665
Co: 0.000 0.500 0.170
Co: 0.000 0.500 0.830
Co: 0.500 0.000 0.500
Co: 0.500 0.251 0.251
Co: 0.500 0.251 0.749
Co: 0.500 0.500 0.000
Co: 0.500 0.749 0.251
Co: 0.500 0.749 0.749

4.
VASP calculation (PBE) on a relaxed structure of SiTe2Cl.

Output
The mass density comes out at 3.99 g/cm3. Its uncorrected formation energy is 0.4 eV per formula unit. The space group is Imm2.

Cell: 7.643 7.643 7.643 Å, 151.63 141.09 48.85°
Atoms (fractional coordinates):
Si: 0.000 0.000 0.000
Te: 0.169 0.669 0.500
Te: 0.573 0.573 0.000
Cl: 0.876 0.376 0.500

5.
VASP calculation (PBE) on a relaxed structure of RbTe2Os.

Output
The mass density comes out at 6.34 g/cm3. Its uncorrected formation energy is -0.3 eV per formula unit. The space group is I-42d.

Cell: 7.122 7.122 7.122 Å, 109.34 109.34 109.73°
Atoms (fractional coordinates):
Rb: 0.000 0.000 0.000
Rb: 0.750 0.250 0.500
Te: 0.238 0.125 0.613
Te: 0.375 0.762 0.887
Te: 0.512 0.625 0.387
Te: 0.875 0.488 0.113
Os: 0.250 0.750 0.500
Os: 0.500 0.500 0.000

6.
VASP calculation (PBE) on a relaxed structure of Pm3Th4N8.

Output
The mass density comes out at 8.98 g/cm3. Its uncorrected formation energy is -20.3 eV per formula unit. The space group is C2/m.

Cell: 7.245 7.245 7.252 Å, 119.37 119.37 90.65°
Atoms (fractional coordinates):
Pm: 0.000 0.000 0.000
Pm: 0.000 0.500 0.000
Pm: 0.500 0.000 0.000
Th: 0.000 0.000 0.500
Th: 0.000 0.500 0.500
Th: 0.500 0.000 0.500
Th: 0.500 0.500 0.000
N: 0.234 0.766 0.500
N: 0.240 0.240 0.963
N: 0.241 0.241 0.510
N: 0.251 0.749 0.000
N: 0.749 0.251 0.000
N: 0.759 0.759 0.490
N: 0.760 0.760 0.037
N: 0.766 0.234 0.500

7.
VASP calculation (PBE) on a relaxed structure of Na3B2O6.

Output
The mass density comes out at 2.94 g/cm3. Its uncorrected formation energy is -14.1 eV per formula unit. The space group is I4/mmm.

Cell: 10.772 10.772 10.772 Å, 163.11 163.11 23.97°
Atoms (fractional coordinates):
Na: 0.000 0.000 0.000
Na: 0.200 0.200 0.000
Na: 0.800 0.800 0.000
B: 0.380 0.380 0.000
B: 0.620 0.620 0.000
O: 0.086 0.586 0.500
O: 0.316 0.316 0.000
O: 0.414 0.914 0.500
O: 0.586 0.086 0.500
O: 0.684 0.684 0.000
O: 0.914 0.414 0.500

8.
VASP calculation (PBE) on a relaxed structure of CeSmFe4.

Output
The calculation puts the formation energy at -9 kJ/mol of formula units. The mass density comes out at 8.73 g/cm3. The space group is F-43m.

Cell: 5.170 5.170 5.170 Å, 60.00 60.00 60.00°
Atoms (fractional coordinates):
Ce: 0.000 0.000 0.000
Sm: 0.750 0.750 0.750
Fe: 0.374 0.374 0.374
Fe: 0.374 0.374 0.877
Fe: 0.374 0.877 0.374
Fe: 0.877 0.374 0.374

9.
VASP calculation (PBE) on a relaxed structure of ReRu2Au.

Output
The calculation puts the formation energy at 120 kJ/mol of formula units. The mass density comes out at 16.13 g/cm3. The space group is Cm.

Cell: 4.819 4.819 4.780 Å, 99.66 99.66 33.46°
Atoms (fractional coordinates):
Re: 0.000 0.000 0.000
Ru: 0.254 0.254 0.777
Ru: 0.515 0.515 0.538
Au: 0.757 0.757 0.275

10.
VASP calculation (PBE) on a relaxed structure of Tm4PtI5.

Output
The mass density comes out at 7.18 g/cm3. Its uncorrected formation energy is -12.0 eV per formula unit. The space group is C2/m.

Cell: 9.968 9.968 8.854 Å, 101.82 101.82 23.86°
Atoms (fractional coordinates):
Tm: 0.001 0.001 0.203
Tm: 0.358 0.358 0.928
Tm: 0.642 0.642 0.072
Tm: 0.999 0.999 0.797
Pt: 0.500 0.500 0.000
I: 0.169 0.169 0.339
I: 0.179 0.179 0.835
I: 0.500 0.500 0.500
I: 0.821 0.821 0.165
I: 0.831 0.831 0.661

11.
VASP calculation (PBE) on a relaxed structure of Er5HPb4.

Output
The mass density comes out at 9.79 g/cm3. The total energy comes out at -4.331 eV/atom. The space group is I4.

Cell: 7.427 7.427 7.427 Å, 100.04 100.04 130.64°
Atoms (fractional coordinates):
Er: 0.000 0.000 0.000
Er: 0.161 0.338 0.624
Er: 0.338 0.714 0.177
Er: 0.537 0.161 0.823
Er: 0.714 0.537 0.376
H: 0.370 0.370 0.000
Pb: 0.024 0.630 0.783
Pb: 0.241 0.024 0.393
Pb: 0.630 0.847 0.607
Pb: 0.847 0.241 0.217

12.
VASP calculation (PBE) on a relaxed structure of Ac8Pm2Er3.

Output
The calculation puts the formation energy at 75 kJ/mol of formula units. The mass density comes out at 8.39 g/cm3. The space group is P-1.

Cell: 6.638 8.514 10.140 Å, 65.52 89.99 82.62°
Atoms (fractional coordinates):
Ac: 0.078 0.046 0.303
Ac: 0.159 0.581 0.614
Ac: 0.235 0.118 0.922
Ac: 0.307 0.643 0.226
Ac: 0.693 0.357 0.774
Ac: 0.765 0.882 0.078
Ac: 0.841 0.419 0.386
Ac: 0.922 0.954 0.697
Pm: 0.389 0.182 0.540
Pm: 0.611 0.818 0.460
Er: 0.000 0.500 0.000
Er: 0.462 0.724 0.849
Er: 0.538 0.276 0.151

13.
VASP calculation (PBE) on a relaxed structure of AcCuSnPt2.

Output
The calculation puts the formation energy at -359 kJ/mol of formula units. The mass density comes out at 12.13 g/cm3. The space group is I-4m2.

Cell: 6.813 6.813 6.813 Å, 143.85 143.85 52.06°
Atoms (fractional coordinates):
Ac: 0.000 0.000 0.000
Cu: 0.750 0.250 0.500
Sn: 0.250 0.750 0.500
Pt: 0.389 0.389 0.000
Pt: 0.611 0.611 0.000

14.
VASP calculation (PBE) on a relaxed structure of Ba2LiRh.

Output
The calculation puts the formation energy at -12 kJ/mol of formula units. The mass density comes out at 4.70 g/cm3. The space group is Pmmm.

Cell: 3.864 3.900 9.009 Å, 90.00 90.00 90.00°
Atoms (fractional coordinates):
Ba: 0.000 0.000 0.199
Ba: 0.000 0.000 0.801
Li: 0.500 0.500 0.500
Rh: 0.500 0.500 0.000

15.
VASP calculation (PBE) on a relaxed structure of Ac2Hg5Pd.

Output
The calculation puts the formation energy at -331 kJ/mol of formula units. The mass density comes out at 11.49 g/cm3. The space group is Cmcm.

Cell: 10.700 10.700 10.193 Å, 90.00 90.00 157.22°
Atoms (fractional coordinates):
Ac: 0.000 0.000 0.000
Ac: 0.000 0.000 0.500
Ac: 0.175 0.825 0.750
Ac: 0.825 0.175 0.250
Hg: 0.213 0.787 0.105
Hg: 0.213 0.787 0.395
Hg: 0.372 0.628 0.007
Hg: 0.372 0.628 0.493
Hg: 0.429 0.571 0.750
Hg: 0.571 0.429 0.250
Hg: 0.628 0.372 0.507
Hg: 0.628 0.372 0.993
Hg: 0.787 0.213 0.605
Hg: 0.787 0.213 0.895
Pd: 0.438 0.562 0.250
Pd: 0.562 0.438 0.750

16.
VASP calculation (PBE) on a relaxed structure of RbU2MnS8.

Output
The mass density comes out at 4.36 g/cm3. Its uncorrected formation energy is -10.4 eV per formula unit. The space group is P2/m.

Cell: 6.266 8.214 6.546 Å, 90.00 99.14 90.00°
Atoms (fractional coordinates):
Rb: 0.000 0.000 0.000
U: 0.500 0.256 0.500
U: 0.500 0.744 0.500
Mn: 0.000 0.500 0.000
S: 0.223 0.312 0.185
S: 0.223 0.688 0.185
S: 0.312 0.500 0.646
S: 0.316 0.000 0.633
S: 0.684 0.000 0.367
S: 0.688 0.500 0.354
S: 0.777 0.312 0.815
S: 0.777 0.688 0.815

17.
VASP calculation (PBE) on a relaxed structure of TiV6H8.

Output
The mass density comes out at 5.28 g/cm3. The total energy comes out at -6.132 eV/atom. The space group is R-3.

Cell: 4.990 4.990 4.990 Å, 102.48 102.48 102.48°
Atoms (fractional coordinates):
Ti: 0.000 0.000 0.000
V: 0.146 0.297 0.587
V: 0.297 0.587 0.146
V: 0.413 0.854 0.703
V: 0.587 0.146 0.297
V: 0.703 0.413 0.854
V: 0.854 0.703 0.413
H: 0.092 0.639 0.789
H: 0.211 0.908 0.361
H: 0.291 0.291 0.291
H: 0.361 0.211 0.908
H: 0.639 0.789 0.092
H: 0.709 0.709 0.709
H: 0.789 0.092 0.639
H: 0.908 0.361 0.211

18.
VASP calculation (PBE) on a relaxed structure of Tb3Y3ScTe8.

Output
The mass density comes out at 6.48 g/cm3. Its uncorrected formation energy is -20.3 eV per formula unit. The space group is R-3m.

Cell: 8.686 8.686 8.686 Å, 59.99 59.99 59.99°
Atoms (fractional coordinates):
Tb: 0.000 0.500 0.500
Tb: 0.500 0.000 0.500
Tb: 0.500 0.500 0.000
Y: 0.000 0.000 0.500
Y: 0.000 0.500 0.000
Y: 0.500 0.000 0.000
Sc: 0.500 0.500 0.500
Te: 0.250 0.250 0.250
Te: 0.252 0.747 0.747
Te: 0.253 0.253 0.748
Te: 0.253 0.748 0.253
Te: 0.747 0.252 0.747
Te: 0.747 0.747 0.252
Te: 0.748 0.253 0.253
Te: 0.750 0.750 0.750

19.
VASP calculation (PBE) on a relaxed structure of K2AgAsCl6.

Output
The mass density comes out at 2.86 g/cm3. Its uncorrected formation energy is -11.5 eV per formula unit. The space group is P1.

Cell: 7.224 7.227 7.229 Å, 61.31 61.30 61.34°
Atoms (fractional coordinates):
K: 0.000 0.000 0.000
K: 0.495 0.493 0.494
Ag: 0.747 0.746 0.747
As: 0.247 0.246 0.246
Cl: 0.012 0.419 0.553
Cl: 0.075 0.938 0.479
Cl: 0.419 0.553 0.013
Cl: 0.481 0.073 0.940
Cl: 0.553 0.014 0.420
Cl: 0.940 0.478 0.073

20.
VASP calculation (PBE) on a relaxed structure of BaZr2PtS.

Output
The mass density comes out at 6.01 g/cm3. Its uncorrected formation energy is 9.2 eV per formula unit. The space group is P4/mmm.

Cell: 5.462 5.462 5.066 Å, 90.00 90.00 90.00°
Atoms (fractional coordinates):
Ba: 0.000 0.000 0.000
Zr: 0.000 0.500 0.000
Zr: 0.500 0.000 0.000
Pt: 0.000 0.000 0.500
S: 0.500 0.500 0.500

no.,DOS(E_F) (states/eV/atom)
1,0.2909
2,0.8954
3,1.5735
4,0.3131
5,0.6357
6,0.2158
7,0.2112
8,1.2744
9,0.8806
10,0.2818
11,0.6922
12,1.6536
13,0.5639
14,0.5770
15,0.4118
16,0.0848
17,0.5065
18,0.4974
19,0.0000
20,1.3185